1.
# TiGe2Ru GGA-PBE relaxed
# Formation energy ... -0.25 eV per atom
# Crystal system ... cubic
# Calculated volume ... 243 Å³/cell
# Size of the total moment ... 5.0 μB/cell
# E_tot ... -109.61 eV/cell
data_TiGe2Ru
_chemical_formula_sum 'Ti4 Ge8 Ru4'
_space_group_name_H-M_alt 'F m -3 m'
_space_group_IT_number 225
_space_group_name_Hall '-F 4 2 3'
_cell_length_a 6.2408
_cell_length_b 6.2408
_cell_length_c 6.2408
_cell_angle_alpha 90.00
_cell_angle_beta 90.00
_cell_angle_gamma 90.00
loop_
_atom_site_label
_atom_site_fract_x
_atom_site_fract_y
_atom_site_fract_z
Ti1 0.0000 0.0000 0.0000
Ge1 0.2500 0.2500 0.2500
Ru1 0.0000 0.0000 0.5000

---

2.
# Ti2GeRu GGA-PBE relaxed
# Formation energy ... -0.51 eV per atom
# Crystal system ... tetragonal
# Calculated volume ... 61 Å³/cell
# Size of the total moment ... 0.0 μB/cell
# E_tot ... -31.73 eV/cell
data_Ti2GeRu
_chemical_formula_sum 'Ti2 Ge1 Ru1'
_space_group_name_H-M_alt 'P 4/m m m'
_space_group_IT_number 123
_space_group_name_Hall '-P 4 2'
_cell_length_a 3.3019
_cell_length_b 3.3019
_cell_length_c 5.5904
_cell_angle_alpha 90.00
_cell_angle_beta 90.00
_cell_angle_gamma 90.00
loop_
_atom_site_label
_atom_site_fract_x
_atom_site_fract_y
_atom_site_fract_z
Ti1 0.0000 0.0000 0.2497
Ge1 0.5000 0.5000 0.0000
Ru1 0.5000 0.5000 0.5000

---

3.
# TiGe2Ru GGA-PBE relaxed
# Formation energy ... -0.31 eV per atom
# Crystal system ... trigonal
# Calculated volume ... 187 Å³/cell
# Size of the total moment ... 0.0 μB/cell
# E_tot ... -82.94 eV/cell
data_TiGe2Ru
_chemical_formula_sum 'Ti3 Ge6 Ru3'
_space_group_name_H-M_alt 'R -3 m'
_space_group_IT_number 166
_space_group_name_Hall '-R 3 2"'
_cell_length_a 4.1144
_cell_length_b 4.1144
_cell_length_c 12.7515
_cell_angle_alpha 90.00
_cell_angle_beta 90.00
_cell_angle_gamma 120.00
loop_
_atom_site_label
_atom_site_fract_x
_atom_site_fract_y
_atom_site_fract_z
Ti1 0.0000 0.0000 0.0000
Ge1 0.0000 0.0000 0.2364
Ru1 0.0000 0.0000 0.5000

---

4.
# Ti4Ge4Ru GGA-PBE relaxed
# Formation energy ... -0.16 eV per atom
# Crystal system ... tetragonal
# Calculated volume ... 318 Å³/cell
# Size of the total moment ... 0.0 μB/cell
# E_tot ... -121.56 eV/cell
data_Ti4Ge4Ru
_chemical_formula_sum 'Ti8 Ge8 Ru2'
_space_group_name_H-M_alt 'I 4/m'
_space_group_IT_number 87
_space_group_name_Hall '-I 4'
_cell_length_a 7.8852
_cell_length_b 7.8852
_cell_length_c 5.1130
_cell_angle_alpha 90.00
_cell_angle_beta 90.00
_cell_angle_gamma 90.00
loop_
_atom_site_label
_atom_site_fract_x
_atom_site_fract_y
_atom_site_fract_z
Ti1 0.0978 0.2818 0.0000
Ge1 0.0892 0.2991 0.5000
Ru1 0.0000 0.0000 0.5000

---

5.
# Ti2GeRu GGA-PBE relaxed
# Formation energy ... -0.52 eV per atom
# Crystal system ... tetragonal
# Calculated volume ... 60 Å³/cell
# Size of the total moment ... 0.0 μB/cell
# E_tot ... -31.75 eV/cell
data_Ti2GeRu
_chemical_formula_sum 'Ti2 Ge1 Ru1'
_space_group_name_H-M_alt 'P 4/m m m'
_space_group_IT_number 123
_space_group_name_Hall '-P 4 2'
_cell_length_a 3.9802
_cell_length_b 3.9802
_cell_length_c 3.8018
_cell_angle_alpha 90.00
_cell_angle_beta 90.00
_cell_angle_gamma 90.00
loop_
_atom_site_label
_atom_site_fract_x
_atom_site_fract_y
_atom_site_fract_z
Ti1 0.0000 0.5000 0.0000
Ge1 0.0000 0.0000 0.5000
Ru1 0.5000 0.5000 0.5000

---

6.
# Ti3GeRu4 GGA-PBE relaxed
# Formation energy ... -0.69 eV per atom
# Crystal system ... orthorhombic
# Calculated volume ... 115 Å³/cell
# Size of the total moment ... 0.0 μB/cell
# E_tot ... -70.94 eV/cell
data_Ti3GeRu4
_chemical_formula_sum 'Ti3 Ge1 Ru4'
_space_group_name_H-M_alt 'P m m m'
_space_group_IT_number 47
_space_group_name_Hall '-P 2 2'
_cell_length_a 3.0864
_cell_length_b 4.3118
_cell_length_c 8.6729
_cell_angle_alpha 90.00
_cell_angle_beta 90.00
_cell_angle_gamma 90.00
loop_
_atom_site_label
_atom_site_fract_x
_atom_site_fract_y
_atom_site_fract_z
Ti1 0.0000 0.0000 0.0000
Ti2 0.0000 0.5000 0.2535
Ge1 0.0000 0.0000 0.5000
Ru1 0.5000 0.0000 0.2515
Ru2 0.5000 0.5000 0.0000
Ru3 0.5000 0.5000 0.5000

---

7.
# Ti2Ge3Ru GGA-PBE relaxed
# Formation energy ... -0.34 eV per atom
# Crystal system ... monoclinic
# Calculated volume ... 384 Å³/cell
# Size of the total moment ... 0.0 μB/cell
# E_tot ... -163.82 eV/cell
data_Ti2Ge3Ru
_chemical_formula_sum 'Ti8 Ge12 Ru4'
_space_group_name_H-M_alt 'C 1 2/c 1'
_space_group_IT_number 15
_space_group_name_Hall '-C 2yc'
_cell_length_a 5.0460
_cell_length_b 12.3940
_cell_length_c 6.3899
_cell_angle_alpha 90.00
_cell_angle_beta 106.18
_cell_angle_gamma 90.00
loop_
_atom_site_label
_atom_site_fract_x
_atom_site_fract_y
_atom_site_fract_z
Ti1 0.0000 0.0211 0.2500
Ti2 0.0000 0.3202 0.2500
Ge1 0.0000 0.5000 0.0000
Ge2 0.0346 0.1676 0.9670
Ru1 0.0000 0.3408 0.7500

---

8.
# Ti4GeRu5 GGA-PBE relaxed
# Formation energy ... -0.68 eV per atom
# Crystal system ... tetragonal
# Calculated volume ... 145 Å³/cell
# Size of the total moment ... 0.0 μB/cell
# E_tot ... -89.40 eV/cell
data_Ti4GeRu5
_chemical_formula_sum 'Ti4 Ge1 Ru5'
_space_group_name_H-M_alt 'P 4/m m m'
_space_group_IT_number 123
_space_group_name_Hall '-P 4 2'
_cell_length_a 3.0808
_cell_length_b 3.0808
_cell_length_c 15.2794
_cell_angle_alpha 90.00
_cell_angle_beta 90.00
_cell_angle_gamma 90.00
loop_
_atom_site_label
_atom_site_fract_x
_atom_site_fract_y
_atom_site_fract_z
Ti1 0.0000 0.0000 0.1008
Ti2 0.0000 0.0000 0.3028
Ge1 0.0000 0.0000 0.5000
Ru1 0.5000 0.5000 0.0000
Ru2 0.5000 0.5000 0.2019
Ru3 0.5000 0.5000 0.4031